Entry 1:
## Ac4Te2IN2 (PBE)

Data for a geometry-optimized Ac4Te2IN2 structure.

The structure in extended XYZ format:
```
9
Lattice="-2.265 2.430 2.647 -6.159 -2.161 -6.695 1.179 -5.989 6.507" Properties=species:S:1:pos:R:3 pbc="T T T"
Ac -4.130 -4.409 3.922
Ac -6.402 -2.386 -3.289
Ac -0.843 -3.335 5.748
Ac -3.115 -1.311 -1.463
Te -1.114 -3.508 2.266
Te -6.130 -2.213 0.192
I 0.000 0.000 0.000
N -4.676 -0.780 -3.286
N -2.569 -4.940 5.745
```

## Properties
Total DFT energy (no corrections), eV per atom: -5.977
Theoretical density, g/cm3: 7.2
Space-group type: C2/m (12)
Magnetic moment, μB per formula unit: 0.000
Volume, Å³ per cell: 305.2
Fermi-level density of states, states/eV/f.u.: 0.70

Entry 2:
## Na3AcI6 (PBE)

Data for a geometry-optimized Na3AcI6 structure.

The structure in extended XYZ format:
```
20
Lattice="-4.619 -1.905 -6.451 4.690 -7.005 -1.289 -7.613 -6.407 7.116" Properties=species:S:1:pos:R:3 pbc="T T T"
I -0.762 -8.971 -0.264
I -0.011 -3.165 -0.871
I -6.779 -6.346 -0.359
I -2.968 -5.795 -2.898
I -4.573 -9.522 2.275
I 1.828 -6.777 -2.808
I -4.948 -9.947 -2.294
I -2.593 -5.370 1.670
I -6.042 -5.691 4.318
I -1.499 -9.626 -4.942
I -9.369 -8.540 2.184
I -7.530 -12.153 0.248
Na 0.036 -4.455 -3.870
Na -3.806 -3.203 3.558
Na -8.047 -9.475 -1.784
Na -3.966 -12.454 1.042
Na -3.575 -2.863 -1.665
Na 0.506 -5.842 1.161
Ac 0.000 0.000 0.000
Ac -3.770 -7.659 -0.312
```

## Properties
Total DFT energy (no corrections), eV per atom: -3.077
Theoretical density, g/cm3: 4.1
Space-group type: P2_1/c (14)
Magnetic moment, μB per formula unit: 0.000
Volume, Å³ per cell: 851.1
Fermi-level density of states, states/eV/f.u.: 0.00

Entry 3:
## NaAc2I6 (PBE)

Data for a geometry-optimized NaAc2I6 structure.

The structure in extended XYZ format:
```
18
Lattice="7.667 0.000 -1.237 0.000 8.269 0.000 0.491 0.000 11.882" Properties=species:S:1:pos:R:3 pbc="T T T"
I 1.541 2.765 4.756
I 2.766 6.764 4.779
I 2.879 4.505 8.527
I 2.538 6.900 0.566
I 5.279 3.764 2.117
I 6.466 7.899 1.968
I 6.617 5.504 5.889
I 6.845 5.640 10.102
I 1.691 0.371 8.676
I 5.392 1.505 5.866
I 5.620 1.369 10.078
I 1.313 2.629 0.543
Ac 7.554 3.114 8.006
Ac 3.475 1.020 2.684
Ac 4.683 7.249 7.961
Ac 0.604 5.155 2.639
Na 0.246 0.000 5.941
Na 3.833 4.135 -0.618
```

## Properties
Total DFT energy (no corrections), eV per atom: -3.428
Theoretical density, g/cm3: 5.4
Space-group type: P2_1/c (14)
Magnetic moment, μB per formula unit: 1.057
Volume, Å³ per cell: 758.3
Fermi-level density of states, states/eV/f.u.: 3.92

Entry 4:
## Na5Ac3I12 (PBE)

Data for a geometry-optimized Na5Ac3I12 structure.

The structure in extended XYZ format:
```
80
Lattice="-0.607 6.045 15.221 6.732 -14.939 0.320 9.055 9.872 -9.442" Properties=species:S:1:pos:R:3 pbc="T T T"
Na 7.405 7.803 -1.333
Na 4.712 -2.378 -0.338
Na 3.366 -7.469 0.160
Na 4.528 4.936 -4.721
Na 8.309 11.304 3.194
Na 7.148 -1.101 8.075
Na 8.032 2.079 -1.976
Na 6.811 7.725 7.497
Na 0.000 0.000 0.000
Na 7.590 0.489 3.050
Na 3.062 -4.447 7.770
Na 2.587 -0.234 4.608
Na 7.894 -2.534 -4.561
Na 7.775 -6.825 7.433
Na 6.871 -10.326 2.905
Na 8.369 -6.747 -1.398
Na 10.468 3.357 6.437
Na 4.224 7.959 2.890
Na 12.593 1.212 1.492
Na -0.304 3.023 7.610
I 6.076 -8.231 12.415
I 4.944 -1.241 13.056
I 12.839 -0.311 -1.046
I 11.793 4.057 1.199
I 5.038 -6.503 6.326
I 5.121 -2.730 9.511
I 5.228 -7.858 2.729
I 7.923 12.765 5.751
I 5.928 6.297 0.757
I 8.150 -5.850 10.213
I 9.718 -4.591 -2.933
I 4.571 1.517 3.259
I 5.731 10.459 7.919
I 7.237 -2.094 1.200
I 11.732 5.471 4.778
I 7.578 2.821 0.864
I 9.104 9.209 -6.315
I 14.321 -1.880 -4.484
I 7.943 3.072 4.899
I 5.462 5.570 9.032
I 5.239 2.380 -2.939
I 6.423 6.606 4.774
I 3.448 -4.493 1.321
I 9.253 -0.592 -2.417
I 10.059 3.708 -3.411
I 7.258 -11.786 0.348
I 10.609 -0.539 2.841
I 0.859 2.858 10.583
I 8.757 -5.628 1.326
I 10.748 -2.028 -5.907
I 1.928 5.309 7.529
I 12.181 -4.052 2.833
I 10.236 2.219 -6.956
I 7.030 6.828 -4.114
I 9.952 8.836 3.371
I 13.252 -4.331 -1.430
I 2.341 1.290 7.145
I 5.927 1.570 8.516
I 9.449 -9.481 -1.819
I 12.054 0.867 6.757
I 9.941 -1.401 9.039
I 3.388 -3.079 4.900
I 2.999 5.031 3.266
I 9.252 -5.318 5.343
I 10.142 7.481 -0.227
I 7.602 -1.843 5.235
I 3.126 0.112 -0.657
I 4.432 3.006 12.006
Ac 11.979 0.812 -4.256
Ac 12.606 -4.912 -4.899
Ac 3.201 0.166 10.355
Ac 2.574 5.890 10.998
Ac 9.531 5.659 -6.279
Ac 4.699 3.746 6.052
Ac 6.244 -4.602 3.547
Ac 4.085 3.346 0.305
Ac 11.095 -2.368 5.795
Ac 8.936 5.580 2.552
Ac 5.650 -4.680 12.378
Ac 10.481 -2.767 0.047
```

## Properties
Total DFT energy (no corrections), eV per atom: -3.104
Theoretical density, g/cm3: 4.5
Space-group type: Ia-3d (230)
Magnetic moment, μB per formula unit: 0.816
Volume, Å³ per cell: 3388.6
Fermi-level density of states, states/eV/f.u.: 8.10

Entry 5:
## NaAcI4 (PBE)

Data for a geometry-optimized NaAcI4 structure.

The structure in extended XYZ format:
```
6
Lattice="-4.141 -2.526 0.256 4.150 -1.339 7.838 -4.301 6.978 -0.724" Properties=species:S:1:pos:R:3 pbc="T T T"
I -5.710 4.831 1.381
I -2.854 0.611 5.931
I 1.418 -1.717 5.989
I -1.438 2.503 1.440
Na -4.221 2.226 -0.234
Ac 0.000 0.000 0.000
```

## Properties
Total DFT energy (no corrections), eV per atom: -3.368
Theoretical density, g/cm3: 4.1
Space-group type: C2/m (12)
Magnetic moment, μB per formula unit: 0.000
Volume, Å³ per cell: 306.0
Fermi-level density of states, states/eV/f.u.: 0.00

Entry 6:
## Na2AcI (PBE)

Data for a geometry-optimized Na2AcI structure.

The structure in extended XYZ format:
```
4
Lattice="-0.484 -2.540 -3.118 0.601 -3.973 0.512 -11.479 -3.539 2.034" Properties=species:S:1:pos:R:3 pbc="T T T"
Na -7.765 -3.098 1.098
Na -3.598 -6.955 -1.670
Ac 0.000 0.000 0.000
I -5.681 -5.026 -0.286
```

## Properties
Total DFT energy (no corrections), eV per atom: -2.370
Theoretical density, g/cm3: 3.9
Space-group type: R-3m (166)
Magnetic moment, μB per formula unit: 0.005
Volume, Å³ per cell: 169.9
Fermi-level density of states, states/eV/f.u.: 5.28